(1)
Below is crystalline ScIr2Ru2 at its relaxed geometry, with properties calculated at the PBE-GGA level.

* relative energy among the computed polymorphs: 29 meV per atom

```
10
Lattice="7.536 0.000 0.000 0.000 7.536 0.000 0.000 0.000 2.795" Properties=species:S:1:pos:R:3 pbc="T T T"
Sc 0.000 0.000 0.000
Sc 3.768 3.768 0.000
Ir 0.927 2.841 0.000
Ir 2.841 6.609 0.000
Ir 4.695 0.927 0.000
Ir 6.609 4.695 0.000
Ru 1.324 5.092 1.398
Ru 2.444 1.324 1.398
Ru 5.092 6.212 1.398
Ru 6.212 2.444 1.398
```

---

(2)
Below is crystalline Sc2IrRu at its relaxed geometry, with properties calculated at the PBE-GGA level.

```
4
Lattice="0.000 3.216 3.216 3.216 0.000 3.216 3.216 3.216 0.000" Properties=species:S:1:pos:R:3 pbc="T T T"
Sc 1.608 1.608 1.608
Sc 4.823 4.823 4.823
Ir 0.000 0.000 0.000
Ru 3.216 3.216 3.216
```

---

(3)
Below is crystalline Sc4IrRu2 at its relaxed geometry, with properties calculated at the PBE-GGA level.

```
7
Lattice="-3.195 3.195 3.215 3.195 -3.195 3.215 3.195 3.195 -3.215" Properties=species:S:1:pos:R:3 pbc="T T T"
Sc 1.598 1.598 -1.608
Sc 1.598 -1.598 1.608
Sc -1.598 1.598 1.608
Sc 1.598 1.598 1.608
Ir 0.000 0.000 0.000
Ru 3.195 0.000 0.000
Ru 0.000 3.195 0.000
```

---

(4)
Below is crystalline Sc8Ir2Ru at its relaxed geometry, with properties calculated at the PBE-GGA level.

```
11
Lattice="7.958 -2.304 0.000 7.958 2.304 0.000 -2.066 0.000 6.088" Properties=species:S:1:pos:R:3 pbc="T T T"
Sc -0.154 0.000 1.767
Sc 1.515 0.000 4.849
Sc 4.202 0.000 3.312
Sc 6.291 0.000 0.294
Sc 7.559 0.000 5.794
Sc 9.648 0.000 2.776
Sc 12.336 0.000 1.239
Sc 14.004 0.000 4.321
Ir 2.509 0.000 1.167
Ir 11.341 0.000 4.921
Ru 6.925 0.000 3.044
```

---

(5)
Below is crystalline ScIrRu at its relaxed geometry, with properties calculated at the PBE-GGA level.

* relative energy among the computed polymorphs: 357 meV per atom

```
3
Lattice="0.000 3.049 3.049 3.049 0.000 3.049 3.049 3.049 0.000" Properties=species:S:1:pos:R:3 pbc="T T T"
Sc 0.000 0.000 0.000
Ir 1.524 1.524 1.524
Ru 3.049 3.049 3.049
```

---

(6)
Below is crystalline ScIrRu at its relaxed geometry, with properties calculated at the PBE-GGA level.

* relative energy among the computed polymorphs: 237 meV per atom

```
3
Lattice="4.415 0.000 0.000 -2.208 3.824 0.000 0.000 0.000 2.813" Properties=species:S:1:pos:R:3 pbc="T T T"
Sc 0.000 0.000 0.000
Ir 0.000 2.549 0.909
Ru 2.208 1.275 2.092
```

---

(7)
Below is crystalline ScIr2Ru2 at its relaxed geometry, with properties calculated at the PBE-GGA level.

* relative energy among the computed polymorphs: 0 meV per atom

```
10
Lattice="7.545 0.000 0.000 0.000 7.545 0.000 0.000 0.000 2.780" Properties=species:S:1:pos:R:3 pbc="T T T"
Sc 0.000 0.000 0.000
Sc 3.772 3.772 0.000
Ir 1.340 2.433 1.390
Ir 2.433 6.205 1.390
Ir 5.112 1.340 1.390
Ir 6.205 5.112 1.390
Ru 0.908 4.680 0.000
Ru 2.864 0.908 0.000
Ru 4.680 6.637 0.000
Ru 6.637 2.864 0.000
```

---

(8)
Below is crystalline Sc2IrRu at its relaxed geometry, with properties calculated at the PBE-GGA level.

```
4
Lattice="-1.632 2.181 4.770 1.632 -2.181 4.770 1.632 2.181 -4.770" Properties=species:S:1:pos:R:3 pbc="T T T"
Sc 0.000 0.000 0.000
Sc 0.000 2.181 2.184
Ir 1.632 0.000 2.340
Ru 0.000 0.000 4.642
```

---

Going through the records in order, we get calculated volume values of 15.88, 16.62, 18.76, 20.30, 18.89, 15.83, 15.83, 16.98 A^3/atom.
Going through the records in order, we get energy of formation from the pure elements values of -0.15, -0.84, -0.62, -0.58, -0.03, -0.15, -0.18, -0.58 eV/atom.
Going through the records in order, we get magnetization values of 0.000, 0.000, 0.000, 0.000, 0.000, 0.013, 0.003, 0.000 μB per formula unit.